No. 1
Hf6Ga2Pb | PBE | optimized geometry

Cell and atoms, written as extended XYZ:
```
18
Lattice="5.0472 0.0000 0.0000 0.0000 8.3469 0.0000 -5.0436 0.0000 9.0317" Properties=species:S:1:pos:R:3 pbc="T T T"
Hf 0.0015 1.5079 0.6842
Hf -2.5203 2.6655 5.2000
Hf -0.0035 4.3924 1.5205
Hf -2.5253 8.1280 6.0364
Hf 0.0050 1.3845 3.7698
Hf -2.5168 2.7890 8.2857
Hf 2.5204 5.5579 0.7460
Hf -0.0014 6.9625 5.2619
Hf 2.5289 0.2189 2.9953
Hf 0.0072 3.9546 7.5112
Hf 2.5239 5.6814 3.8317
Hf 0.0021 6.8390 8.3475
Ga -2.5156 5.3656 6.7880
Ga 0.0062 7.1548 2.2722
Ga -0.0025 1.1921 6.7595
Ga 2.5192 2.9814 2.2437
Pb 2.5236 0.0000 0.0000
Pb 0.0018 4.1735 4.5159
```

Output
**Crystal system**: monoclinic
**ΔH_f (0 K)**: -0.10 eV/atom
**Uncorrected energy**: -70.4 eV per formula unit



No. 2
Hf2GaPb2 | PBE | optimized geometry

Cell and atoms, written as extended XYZ:
```
10
Lattice="7.9086 0.0000 0.0000 0.0000 7.9086 0.0000 0.0000 0.0000 3.9056" Properties=species:S:1:pos:R:3 pbc="T T T"
Hf 1.1059 2.8484 0.0000
Hf 2.8484 6.8027 0.0000
Hf 5.0602 1.1059 0.0000
Hf 6.8027 5.0602 0.0000
Ga 0.0000 0.0000 1.9528
Ga 3.9543 3.9543 1.9528
Pb 1.2584 5.2127 1.9528
Pb 2.6959 1.2584 1.9528
Pb 5.2127 6.6502 1.9528
Pb 6.6502 2.6959 1.9528
```

Output
**Crystal system**: tetragonal
**Polymorph energy (0 for the lowest one)**: 315.0 meV per atom
**ΔH_f (0 K)**: 0.31 eV/atom
**Uncorrected energy**: -28.8 eV per formula unit



No. 3
HfGa2RePb | PBE | optimized geometry

Cell and atoms, written as extended XYZ:
```
5
Lattice="5.0496 0.0000 0.0000 0.0000 5.0496 0.0000 0.0000 0.0000 5.5746" Properties=species:S:1:pos:R:3 pbc="T T T"
Hf 0.0000 0.0000 0.0000
Ga 0.0000 2.5248 2.7873
Ga 2.5248 0.0000 2.7873
Re 2.5248 2.5248 0.0000
Pb 0.0000 0.0000 2.7873
```

Output
**Crystal system**: tetragonal
**ΔH_f (0 K)**: 1.94 eV/atom
**Uncorrected energy**: -22.4 eV per formula unit



No. 4
HfScGaPb2 | PBE | optimized geometry

Cell and atoms, written as extended XYZ:
```
5
Lattice="5.3175 0.0000 0.0000 0.0000 5.3175 0.0000 0.0000 0.0000 5.0717" Properties=species:S:1:pos:R:3 pbc="T T T"
Hf 0.0000 0.0000 0.0000
Sc 2.6588 2.6588 0.0000
Ga 2.6588 2.6588 2.5358
Pb 0.0000 2.6588 2.5358
Pb 2.6588 0.0000 2.5358
```

Output
**Crystal system**: tetragonal
**ΔH_f (0 K)**: 0.69 eV/atom
**Uncorrected energy**: -23.3 eV per formula unit



No. 5
Hf2GaSiPb | PBE | optimized geometry

Cell and atoms, written as extended XYZ:
```
5
Lattice="4.9738 0.0000 0.0000 0.0000 4.9738 0.0000 0.0000 0.0000 5.2161" Properties=species:S:1:pos:R:3 pbc="T T T"
Hf 0.0000 2.4869 0.0000
Hf 2.4869 0.0000 0.0000
Ga 0.0000 0.0000 2.6081
Si 2.4869 2.4869 0.0000
Pb 2.4869 2.4869 2.6081
```

Output
**Crystal system**: tetragonal
**Uncorrected energy**: -29.2 eV per formula unit



No. 6
Hf2GaPbW | PBE | optimized geometry

Cell and atoms, written as extended XYZ:
```
5
Lattice="5.1081 0.0000 0.0000 0.0000 5.1081 0.0000 0.0000 0.0000 4.9511" Properties=species:S:1:pos:R:3 pbc="T T T"
Hf 0.0000 2.5540 0.0000
Hf 2.5540 0.0000 0.0000
Ga 0.0000 0.0000 2.4755
Pb 2.5540 2.5540 2.4755
W 0.0000 0.0000 0.0000
```

Output
**Crystal system**: tetragonal
**ΔH_f (0 K)**: 0.72 eV/atom
**Uncorrected energy**: -36.0 eV per formula unit



Q: The lowest uncorrected energy belongs to which entry?
A: Hf6Ga2Pb



Q: Among the records above, which one has the lowest uncorrected energy?
A: Hf6Ga2Pb



Q: Which formula does entry 6 have?
A: Hf2GaPbW



Q: Among the records above, which one has the highest uncorrected energy?
A: HfGa2RePb